Entry 1:
# RbBeVP2 PBE relaxed
data_RbBeVP2
_chemical_formula_sum 'Rb1 Be1 V1 P2'
_symmetry_space_group_name_H-M 'P 1'
_symmetry_Int_Tables_number 1
_symmetry_space_group_name_Hall 'P 1'
_cell_length_a 4.5973
_cell_length_b 4.5973
_cell_length_c 6.4242
_cell_angle_alpha 90.00
_cell_angle_beta 90.00
_cell_angle_gamma 90.00
loop_
_atom_site_label
_atom_site_type_symbol
_atom_site_fract_x
_atom_site_fract_y
_atom_site_fract_z
Rb1 Rb 0.0000 0.0000 0.5000
V1 V 0.0000 0.0000 0.0000
Be1 Be 0.5000 0.5000 0.5000
P1 P 0.5000 0.0000 0.0000
P2 P 0.0000 0.5000 0.0000
# Energy of formation from the pure elements (eV per atom): 0.793

Entry 2:
# RbBeZn2P PBE relaxed
data_RbBeZn2P
_chemical_formula_sum 'Rb1 Be1 Zn2 P1'
_symmetry_space_group_name_H-M 'P 1'
_symmetry_Int_Tables_number 1
_symmetry_space_group_name_Hall 'P 1'
_cell_length_a 7.3942
_cell_length_b 6.6422
_cell_length_c 7.3942
_cell_angle_alpha 90.00
_cell_angle_beta 90.00
_cell_angle_gamma 90.00
loop_
_atom_site_label
_atom_site_type_symbol
_atom_site_fract_x
_atom_site_fract_y
_atom_site_fract_z
Zn1 Zn 0.5000 0.0000 0.0000
Zn2 Zn 0.0000 0.0000 0.5000
Be1 Be 0.5000 0.5000 0.5000
P1 P 0.0000 0.5000 0.0000
Rb1 Rb 0.0000 0.0000 0.0000
# Energy of formation from the pure elements (eV per atom): 1.550

Entry 3:
# Rb2BeZnP2 PBE relaxed
data_Rb2BeZnP2
_chemical_formula_sum 'Rb4 Be2 Zn2 P4'
_symmetry_space_group_name_H-M 'P 1'
_symmetry_Int_Tables_number 1
_symmetry_space_group_name_Hall 'P 1'
_cell_length_a 5.7544
_cell_length_b 5.7322
_cell_length_c 10.6763
_cell_angle_alpha 105.57
_cell_angle_beta 105.63
_cell_angle_gamma 90.00
loop_
_atom_site_label
_atom_site_type_symbol
_atom_site_fract_x
_atom_site_fract_y
_atom_site_fract_z
Rb1 Rb 0.6127 0.8526 0.7052
Zn1 Zn 0.0000 0.7500 0.0000
Rb2 Rb 0.9075 0.6474 0.2948
P1 P 0.7894 0.0650 0.1300
P2 P 0.3406 0.5650 0.1300
Be1 Be 0.5000 0.2500 0.0000
Be2 Be 0.5000 0.7500 0.0000
P3 P 0.2106 0.9350 0.8700
Rb3 Rb 0.3873 0.1474 0.2948
Zn2 Zn 0.0000 0.2500 0.0000
Rb4 Rb 0.0925 0.3526 0.7052
P4 P 0.6594 0.4350 0.8700
# Energy of formation from the pure elements (eV per atom): -0.332

Entry 4:
# RbZrBeP2 PBE relaxed
data_RbZrBeP2
_chemical_formula_sum 'Rb1 Zr1 Be1 P2'
_symmetry_space_group_name_H-M 'P 1'
_symmetry_Int_Tables_number 1
_symmetry_space_group_name_Hall 'P 1'
_cell_length_a 5.2928
_cell_length_b 5.3898
_cell_length_c 5.2928
_cell_angle_alpha 90.00
_cell_angle_beta 90.00
_cell_angle_gamma 90.00
loop_
_atom_site_label
_atom_site_type_symbol
_atom_site_fract_x
_atom_site_fract_y
_atom_site_fract_z
P1 P 0.5000 0.0000 0.0000
P2 P 0.0000 0.0000 0.5000
Be1 Be 0.5000 0.5000 0.5000
Zr1 Zr 0.0000 0.5000 0.0000
Rb1 Rb 0.0000 0.0000 0.0000
# Energy of formation from the pure elements (eV per atom): 2.529

Entry 5:
# BeReP2 PBE relaxed
data_BeReP2
_chemical_formula_sum 'Be1 Re1 P2'
_symmetry_space_group_name_H-M 'P 1'
_symmetry_Int_Tables_number 1
_symmetry_space_group_name_Hall 'P 1'
_cell_length_a 2.8538
_cell_length_b 2.8538
_cell_length_c 7.2398
_cell_angle_alpha 90.00
_cell_angle_beta 90.00
_cell_angle_gamma 116.31
loop_
_atom_site_label
_atom_site_type_symbol
_atom_site_fract_x
_atom_site_fract_y
_atom_site_fract_z
Be1 Be 0.5000 0.5000 0.7500
P1 P 0.0000 0.0000 0.5175
Re1 Re 0.5000 0.5000 0.2500
P2 P 0.0000 0.0000 0.9825
# Energy of formation from the pure elements (eV per atom): 0.424

Entry 6:
# BeReP2 PBE relaxed
data_BeReP2
_chemical_formula_sum 'Be1 Re1 P2'
_symmetry_space_group_name_H-M 'P 1'
_symmetry_Int_Tables_number 1
_symmetry_space_group_name_Hall 'P 1'
_cell_length_a 3.9030
_cell_length_b 3.0944
_cell_length_c 4.5695
_cell_angle_alpha 70.26
_cell_angle_beta 90.00
_cell_angle_gamma 90.00
loop_
_atom_site_label
_atom_site_type_symbol
_atom_site_fract_x
_atom_site_fract_y
_atom_site_fract_z
Be1 Be 0.5000 0.5300 0.8127
P1 P 0.0000 0.9887 0.8990
Re1 Re 0.0000 0.7002 0.4748
P2 P 0.5000 0.2811 0.3134
# Energy of formation from the pure elements (eV per atom): -0.032

Entry 7:
# BeReP2 PBE relaxed
data_BeReP2
_chemical_formula_sum 'Be2 Re2 P4'
_symmetry_space_group_name_H-M 'P 1'
_symmetry_Int_Tables_number 1
_symmetry_space_group_name_Hall 'P 1'
_cell_length_a 5.2243
_cell_length_b 5.2243
_cell_length_c 6.3156
_cell_angle_alpha 65.57
_cell_angle_beta 65.57
_cell_angle_gamma 90.00
loop_
_atom_site_label
_atom_site_type_symbol
_atom_site_fract_x
_atom_site_fract_y
_atom_site_fract_z
P1 P 0.8750 0.8588 0.7500
P2 P 0.6088 0.1250 0.2500
P3 P 0.3750 0.3912 0.7500
P4 P 0.1412 0.6250 0.2500
Re1 Re 0.0000 0.0000 0.0000
Be1 Be 0.2500 0.7500 0.5000
Re2 Re 0.7500 0.2500 0.5000
Be2 Be 0.5000 0.5000 0.0000
# Energy of formation from the pure elements (eV per atom): 0.170

Entry 8:
# BeReP2 PBE relaxed
data_BeReP2
_chemical_formula_sum 'Be1 Re1 P2'
_symmetry_space_group_name_H-M 'P 1'
_symmetry_Int_Tables_number 1
_symmetry_space_group_name_Hall 'P 1'
_cell_length_a 4.1297
_cell_length_b 4.1297
_cell_length_c 4.1297
_cell_angle_alpha 60.00
_cell_angle_beta 60.00
_cell_angle_gamma 60.00
loop_
_atom_site_label
_atom_site_type_symbol
_atom_site_fract_x
_atom_site_fract_y
_atom_site_fract_z
P1 P 0.2500 0.2500 0.2500
Be1 Be 0.0000 0.0000 0.0000
P2 P 0.7500 0.7500 0.7500
Re1 Re 0.5000 0.5000 0.5000
# Energy of formation from the pure elements (eV per atom): 0.220

Copy entry 1 word for word.
# RbBeVP2 PBE relaxed
data_RbBeVP2
_chemical_formula_sum 'Rb1 Be1 V1 P2'
_symmetry_space_group_name_H-M 'P 1'
_symmetry_Int_Tables_number 1
_symmetry_space_group_name_Hall 'P 1'
_cell_length_a 4.5973
_cell_length_b 4.5973
_cell_length_c 6.4242
_cell_angle_alpha 90.00
_cell_angle_beta 90.00
_cell_angle_gamma 90.00
loop_
_atom_site_label
_atom_site_type_symbol
_atom_site_fract_x
_atom_site_fract_y
_atom_site_fract_z
Rb1 Rb 0.0000 0.0000 0.5000
V1 V 0.0000 0.0000 0.0000
Be1 Be 0.5000 0.5000 0.5000
P1 P 0.5000 0.0000 0.0000
P2 P 0.0000 0.5000 0.0000
# Energy of formation from the pure elements (eV per atom): 0.793